An optimized crystal structure of CaNiO2. Source: the Alexandria database, functional GGA+U.

calculated total energy = -5.413 eV per atom
symmetry = R-3m (166)

Cell: 6.151 6.151 6.151 Å, 33.05 33.05 33.05°
Fractional positions:
Ca 0.000 0.000 0.000
Ni 0.500 0.500 0.500
O 0.401 0.401 0.401
O 0.599 0.599 0.599